Entry from the Alexandria database: an optimized crystal structure of U2PaMoC4 (PBE).

The structure in CIF format:
```
data_U2PaMoC4
_chemical_formula_sum 'U8 Pa4 Mo4 C16'
_space_group_name_H-M_alt 'C m c m'
_space_group_IT_number 63
_space_group_name_Hall '-C 2c 2'
_cell_length_a 3.3961
_cell_length_b 11.9591
_cell_length_c 11.5877
_cell_angle_alpha 90.00
_cell_angle_beta 90.00
_cell_angle_gamma 90.00
loop_
_atom_site_label
_atom_site_type_symbol
_atom_site_fract_x
_atom_site_fract_y
_atom_site_fract_z
_atom_site_occupancy
U1 U 0.0000 0.1315 0.0508 1
Pa1 Pa 0.0000 0.3852 0.2500 1
Mo1 Mo 0.0000 0.3517 0.7500 1
C1 C 0.0000 0.0345 0.2500 1
C2 C 0.0000 0.2241 0.6218 1
C3 C 0.0000 0.5000 0.0000 1
```



Entry from the Alexandria database: an optimized crystal structure of UPa2MoC4 (PBE).

The structure in CIF format:
```
data_UPa2MoC4
_chemical_formula_sum 'U4 Pa8 Mo4 C16'
_space_group_name_H-M_alt 'C m c m'
_space_group_IT_number 63
_space_group_name_Hall '-C 2c 2'
_cell_length_a 3.4042
_cell_length_b 11.9518
_cell_length_c 11.9240
_cell_angle_alpha 90.00
_cell_angle_beta 90.00
_cell_angle_gamma 90.00
loop_
_atom_site_label
_atom_site_type_symbol
_atom_site_fract_x
_atom_site_fract_y
_atom_site_fract_z
_atom_site_occupancy
U1 U 0.0000 0.1182 0.2500 1
Pa1 Pa 0.0000 0.3672 0.0491 1
Mo1 Mo 0.0000 0.1440 0.7500 1
C1 C 0.0000 0.0000 0.0000 1
C2 C 0.0000 0.2783 0.6321 1
C3 C 0.0000 0.4705 0.2500 1
```



Entry from the Alexandria database: an optimized crystal structure of YPa2MoC4 (PBE).

The structure in CIF format:
```
data_YPa2MoC4
_chemical_formula_sum 'Y4 Pa8 Mo4 C16'
_space_group_name_H-M_alt 'C m c m'
_space_group_IT_number 63
_space_group_name_Hall '-C 2c 2'
_cell_length_a 3.6412
_cell_length_b 11.8962
_cell_length_c 11.8560
_cell_angle_alpha 90.00
_cell_angle_beta 90.00
_cell_angle_gamma 90.00
loop_
_atom_site_label
_atom_site_type_symbol
_atom_site_fract_x
_atom_site_fract_y
_atom_site_fract_z
_atom_site_occupancy
Y1 Y 0.0000 0.1307 0.2500 1
Pa1 Pa 0.0000 0.3691 0.0415 1
Mo1 Mo 0.0000 0.1342 0.7500 1
C1 C 0.0000 0.0000 0.0000 1
C2 C 0.0000 0.2572 0.6260 1
C3 C 0.0000 0.4434 0.2500 1
```



Entry from the Alexandria database: an optimized crystal structure of MoPb2C (PBE).

The structure in CIF format:
```
data_MoPb2C
_chemical_formula_sum 'Mo4 Pb8 C4'
_space_group_name_H-M_alt 'I -4 2 d'
_space_group_IT_number 122
_space_group_name_Hall 'I -4 2bw'
_cell_length_a 7.0369
_cell_length_b 7.0369
_cell_length_c 6.6022
_cell_angle_alpha 90.00
_cell_angle_beta 90.00
_cell_angle_gamma 90.00
loop_
_atom_site_label
_atom_site_type_symbol
_atom_site_fract_x
_atom_site_fract_y
_atom_site_fract_z
_atom_site_occupancy
Mo1 Mo 0.0000 0.0000 0.0000 1
Pb1 Pb 0.1895 0.2500 0.6250 1
C1 C 0.0000 0.0000 0.5000 1
```



Entry from the Alexandria database: an optimized crystal structure of Mo2Pb4C (PBE).

The structure in CIF format:
```
data_Mo2Pb4C
_chemical_formula_sum 'Mo4 Pb8 C2'
_space_group_name_H-M_alt 'I 4/m m m'
_space_group_IT_number 139
_space_group_name_Hall '-I 4 2'
_cell_length_a 5.4502
_cell_length_b 5.4502
_cell_length_c 12.7378
_cell_angle_alpha 90.00
_cell_angle_beta 90.00
_cell_angle_gamma 90.00
loop_
_atom_site_label
_atom_site_type_symbol
_atom_site_fract_x
_atom_site_fract_y
_atom_site_fract_z
_atom_site_occupancy
Mo1 Mo 0.0000 0.0000 0.0896 1
Pb1 Pb 0.0000 0.0000 0.3229 1
Pb2 Pb 0.0000 0.5000 0.0000 1
C1 C 0.0000 0.0000 0.5000 1
```



Entry from the Alexandria database: an optimized crystal structure of MoPbC2 (PBE).

The structure in CIF format:
```
data_MoPbC2
_chemical_formula_sum 'Mo4 Pb4 C8'
_space_group_name_H-M_alt 'I -4 2 d'
_space_group_IT_number 122
_space_group_name_Hall 'I -4 2bw'
_cell_length_a 5.3872
_cell_length_b 5.3872
_cell_length_c 9.7212
_cell_angle_alpha 90.00
_cell_angle_beta 90.00
_cell_angle_gamma 90.00
loop_
_atom_site_label
_atom_site_type_symbol
_atom_site_fract_x
_atom_site_fract_y
_atom_site_fract_z
_atom_site_occupancy
Mo1 Mo 0.0000 0.0000 0.0000 1
Pb1 Pb 0.0000 0.0000 0.5000 1
C1 C 0.1471 0.2500 0.1250 1
```



Electronic total energy for the records above, in order: -10.05 -9.80 -9.26 -5.24 -5.21 -7.30 eV per atom
Formation enthalpy at 0 K for the records above, in order: -0.0726 -0.0531 -0.1137 1.6259 1.3196 0.9458 eV/atom